1.
Below is BaNa2Te2 after structural relaxation, with properties calculated at the PBE level.

```
BaNa2Te2
1.0
-2.314 2.314 8.008
2.314 -2.314 8.008
2.314 2.314 -8.008
Ba Na Te
1 2 2
Direct
0.000 0.000 0.000
0.250 0.750 0.500
0.750 0.250 0.500
0.379 0.379 0.000
0.621 0.621 0.000
```

## Properties
**E above lowest polymorph**: 0 kJ/mol of formula units

2.
Below is Ba3NaTe4 after structural relaxation, with properties calculated at the PBE level.

```
Ba3NaTe4
1.0
7.011 0.000 0.000
0.000 7.011 0.000
0.000 0.000 7.011
Ba Na Te
3 1 4
Direct
0.000 0.000 0.500
0.000 0.500 0.000
0.500 0.000 0.000
0.500 0.500 0.500
0.000 0.000 0.000
0.000 0.500 0.500
0.500 0.000 0.500
0.500 0.500 0.000
```

| no. | raw formation energy (eV per atom) | calculated total energy (eV/f.u.) | D(E_F) (states/eV per cell) |
| --- | --- | --- | --- |
| 1 | -1.1593 | -16.6 | 0.00 |
| 2 | -1.4014 | -30.9 | 9.17 |